(1)
DFT (PBE-GGA) results for a relaxed Pm2ReN6 crystal.

## Properties
* total magnetic moment: 0.88 μB per formula unit

Structure (CIF):
```
data_Pm2ReN6
_space_group_name_H-M_alt 'A m m 2'
_space_group_IT_number 38
_cell_length_a 3.3862
_cell_length_b 9.8177
_cell_length_c 6.8783
_cell_angle_alpha 90.00
_cell_angle_beta 90.00
_cell_angle_gamma 90.00
loop_
_space_group_symop_operation_xyz
'x,y,z'
'-x,-y,z'
'-x,y,z'
'x,-y,z'
'x,y+1/2,z+1/2'
'-x,-y+1/2,z+1/2'
'-x,y+1/2,z+1/2'
'x,-y+1/2,z+1/2'
loop_
_atom_site_label
_atom_site_type_symbol
_atom_site_fract_x
_atom_site_fract_y
_atom_site_fract_z
_atom_site_occupancy
Pm1 Pm 0.0000 0.1788 0.0000 1
Re1 Re 0.5000 0.0000 0.6053 1
N1 N 0.0000 0.0000 0.7415 1
N2 N 0.0000 0.0643 0.3995 1
N3 N 0.5000 0.0000 0.0541 1
N4 N 0.5000 0.1930 0.7145 1
```


(2)
DFT (PBE-GGA) results for a relaxed SbPb3 crystal.

## Properties
* total magnetic moment: 0.00 μB per formula unit

Structure (CIF):
```
data_SbPb3
_space_group_name_H-M_alt 'C 1 2/m 1'
_space_group_IT_number 12
_cell_length_a 11.7775
_cell_length_b 3.4692
_cell_length_c 6.1136
_cell_angle_alpha 90.00
_cell_angle_beta 99.16
_cell_angle_gamma 90.00
loop_
_space_group_symop_operation_xyz
'x,y,z'
'-x,-y,-z'
'-x,y,-z'
'x,-y,z'
'x+1/2,y+1/2,z'
'-x+1/2,-y+1/2,-z'
'-x+1/2,y+1/2,-z'
'x+1/2,-y+1/2,z'
loop_
_atom_site_label
_atom_site_type_symbol
_atom_site_fract_x
_atom_site_fract_y
_atom_site_fract_z
_atom_site_occupancy
Sb1 Sb 0.0000 0.0000 0.0000 1
Pb1 Pb 0.0000 0.5000 0.5000 1
Pb2 Pb 0.2493 0.5000 0.2437 1
```


Number 1: formation energy without anion corrections -0.06 eV per atom. Number 2: formation energy without anion corrections 0.05 eV per atom.